Record 1
# EuGe2Ru2 (PBE, relaxed)
data_EuGe2Ru2
_space_group_name_H-M_alt 'P 1'
_space_group_IT_number 1
_space_group_name_Hall 'P 1'
_cell_length_a 5.936
_cell_length_b 5.936
_cell_length_c 5.936
_cell_angle_alpha 137.47
_cell_angle_beta 137.47
_cell_angle_gamma 61.72
loop_
_atom_site_label
_atom_site_fract_x
_atom_site_fract_y
_atom_site_fract_z
Ge1 0.635 0.635 0.000
Ru1 0.250 0.750 0.500
Ru2 0.750 0.250 0.500
Eu1 0.000 0.000 0.000
Ge2 0.365 0.365 0.000
# ΔH_f (0 K), eV/atom: -0.552
# Total magnetization, μB/cell: 6.9
# Density, g/cm³: 8.8

=====

Record 2
# EuGeS2 (PBE, relaxed)
data_EuGeS2
_space_group_name_H-M_alt 'P 1'
_space_group_IT_number 1
_space_group_name_Hall 'P 1'
_cell_length_a 3.725
_cell_length_b 3.725
_cell_length_c 8.643
_cell_angle_alpha 77.56
_cell_angle_beta 77.56
_cell_angle_gamma 60.00
loop_
_atom_site_label
_atom_site_fract_x
_atom_site_fract_y
_atom_site_fract_z
Eu1 0.000 0.000 0.000
S1 0.110 0.110 0.670
S2 0.890 0.890 0.330
Ge1 0.500 0.500 0.500
# Total magnetization, μB/cell: 7.7
# Density, g/cm³: 4.8
# ΔE_f (raw), meV/atom: -433

=====

Record 3
# Eu2GeS (PBE, relaxed)
data_Eu2GeS
_space_group_name_H-M_alt 'P 1'
_space_group_IT_number 1
_space_group_name_Hall 'P 1'
_cell_length_a 4.066
_cell_length_b 4.066
_cell_length_c 7.962
_cell_angle_alpha 75.21
_cell_angle_beta 75.21
_cell_angle_gamma 60.00
loop_
_atom_site_label
_atom_site_fract_x
_atom_site_fract_y
_atom_site_fract_z
Eu1 0.757 0.757 0.728
Eu2 0.243 0.243 0.272
S1 0.500 0.500 0.500
Ge1 0.000 0.000 0.000
# Total magnetization, μB/cell: 13.8
# Density, g/cm³: 6.2
# ΔE_f (raw), meV/atom: -1236

=====

Record 4
# EuGeSb2 (PBE, relaxed)
data_EuGeSb2
_space_group_name_H-M_alt 'P 1'
_space_group_IT_number 1
_space_group_name_Hall 'P 1'
_cell_length_a 4.665
_cell_length_b 4.715
_cell_length_c 4.715
_cell_angle_alpha 90.00
_cell_angle_beta 90.00
_cell_angle_gamma 90.00
loop_
_atom_site_label
_atom_site_fract_x
_atom_site_fract_y
_atom_site_fract_z
Sb1 0.000 0.500 0.000
Eu1 0.500 0.500 0.500
Ge1 0.500 0.000 0.000
Sb2 0.000 0.000 0.500
# Total magnetization, μB/cell: 6.8
# Density, g/cm³: 7.5
# ΔE_f (raw), meV/atom: -408
# E above lowest polymorph, meV/atom: 0.0

=====

Record 5
# EuGeSb2 (PBE, relaxed)
data_EuGeSb2
_space_group_name_H-M_alt 'P 1'
_space_group_IT_number 1
_space_group_name_Hall 'P 1'
_cell_length_a 3.815
_cell_length_b 3.815
_cell_length_c 10.264
_cell_angle_alpha 79.29
_cell_angle_beta 79.29
_cell_angle_gamma 60.00
loop_
_atom_site_label
_atom_site_fract_x
_atom_site_fract_y
_atom_site_fract_z
Ge1 0.500 0.500 0.500
Eu1 0.000 0.000 0.000
Sb1 0.107 0.107 0.680
Sb2 0.893 0.893 0.320
# Total magnetization, μB/cell: 7.5
# Density, g/cm³: 6.2
# ΔE_f (raw), meV/atom: 111
# E above lowest polymorph, meV/atom: 518.1

=====

Record 6
# EuScGe2 (PBE, relaxed)
data_EuScGe2
_space_group_name_H-M_alt 'P 1'
_space_group_IT_number 1
_space_group_name_Hall 'P 1'
_cell_length_a 3.677
_cell_length_b 3.677
_cell_length_c 6.593
_cell_angle_alpha 90.00
_cell_angle_beta 90.00
_cell_angle_gamma 90.00
loop_
_atom_site_label
_atom_site_fract_x
_atom_site_fract_y
_atom_site_fract_z
Ge1 0.000 0.000 0.198
Ge2 0.000 0.000 0.802
Sc1 0.500 0.500 0.000
Eu1 0.500 0.500 0.500
# ΔH_f (0 K), eV/atom: -0.628
# Total magnetization, μB/cell: 7.2
# Density, g/cm³: 6.4
# E above lowest polymorph, meV/atom: 0.0

=====

Record 7
# EuScGe2 (PBE, relaxed)
data_EuScGe2
_space_group_name_H-M_alt 'P 1'
_space_group_IT_number 1
_space_group_name_Hall 'P 1'
_cell_length_a 4.529
_cell_length_b 4.529
_cell_length_c 5.971
_cell_angle_alpha 67.71
_cell_angle_beta 67.71
_cell_angle_gamma 60.00
loop_
_atom_site_label
_atom_site_fract_x
_atom_site_fract_y
_atom_site_fract_z
Ge1 0.268 0.268 0.196
Sc1 0.000 0.000 0.000
Ge2 0.732 0.732 0.804
Eu1 0.500 0.500 0.500
# ΔH_f (0 K), eV/atom: -0.538
# Total magnetization, μB/cell: 6.8
# Density, g/cm³: 6.0
# E above lowest polymorph, meV/atom: 89.7

=====

Record 8
# Eu2GeSe4 (PBE, relaxed)
data_Eu2GeSe4
_space_group_name_H-M_alt 'P 1'
_space_group_IT_number 1
_space_group_name_Hall 'P 1'
_cell_length_a 7.209
_cell_length_b 6.991
_cell_length_c 8.305
_cell_angle_alpha 72.34
_cell_angle_beta 90.00
_cell_angle_gamma 90.00
loop_
_atom_site_label
_atom_site_fract_x
_atom_site_fract_y
_atom_site_fract_z
Se1 0.206 0.566 0.118
Ge1 0.253 0.761 0.309
Eu1 0.803 0.752 0.062
Se2 0.706 0.434 0.882
Se3 0.686 0.430 0.405
Ge2 0.753 0.239 0.691
Se4 0.524 0.973 0.252
Se5 0.018 0.018 0.238
Eu2 0.785 0.778 0.555
Eu3 0.285 0.222 0.445
Se6 0.518 0.982 0.762
Eu4 0.303 0.248 0.938
Se7 0.024 0.027 0.748
Se8 0.186 0.570 0.595
# Total magnetization, μB/cell: 28.0
# Density, g/cm³: 5.8
# ΔE_f (raw), meV/atom: -1252

=====

Record 9
# Eu3Ge5Se12 (PBE, relaxed)
data_Eu3Ge5Se12
_space_group_name_H-M_alt 'P 1'
_space_group_IT_number 1
_space_group_name_Hall 'P 1'
_cell_length_a 14.123
_cell_length_b 14.123
_cell_length_c 14.123
_cell_angle_alpha 109.47
_cell_angle_beta 109.47
_cell_angle_gamma 109.47
loop_
_atom_site_label
_atom_site_fract_x
_atom_site_fract_y
_atom_site_fract_z
Se1 0.212 0.681 0.088
Se2 0.093 0.912 0.123
Se3 0.030 0.407 0.819
Se4 0.712 0.123 0.030
Se5 0.407 0.030 0.319
Se6 0.088 0.181 0.212
Se7 0.407 0.377 0.588
Se8 0.181 0.093 0.970
Eu1 0.125 0.875 0.750
Se9 0.030 0.623 0.712
Se10 0.588 0.712 0.681
Se11 0.319 0.530 0.407
Se12 0.788 0.319 0.912
Se13 0.877 0.288 0.470
Se14 0.181 0.088 0.712
Ge1 0.000 0.500 0.500
Se15 0.593 0.970 0.681
Ge2 0.125 0.750 0.375
Se16 0.788 0.470 0.377
Se17 0.681 0.470 0.593
Se18 0.088 0.907 0.377
Ge3 0.125 0.375 0.250
Eu2 0.750 0.375 0.125
Ge4 0.000 0.000 0.500
Eu3 0.375 0.625 0.250
Ge5 0.000 0.500 0.000
Eu4 0.875 0.750 0.125
Se19 0.412 0.123 0.593
Ge6 0.250 0.375 0.625
Ge7 0.500 0.500 0.000
Ge8 0.500 0.000 0.500
Se20 0.588 0.877 0.407
Eu5 0.250 0.625 0.875
Ge9 0.875 0.250 0.625
Se21 0.123 0.412 0.093
Se22 0.288 0.877 0.970
Se23 0.377 0.407 0.088
Se24 0.470 0.681 0.093
Se25 0.593 0.623 0.412
Se26 0.377 0.970 0.788
Ge10 0.875 0.625 0.750
Eu6 0.875 0.125 0.250
Se27 0.412 0.288 0.319
Ge11 0.750 0.625 0.375
Se28 0.819 0.912 0.288
Se29 0.681 0.212 0.588
Se30 0.093 0.181 0.470
Ge12 0.625 0.750 0.875
Se31 0.970 0.593 0.181
Se32 0.319 0.788 0.412
Se33 0.912 0.819 0.788
Se34 0.877 0.588 0.907
Eu7 0.625 0.375 0.750
Ge13 0.625 0.875 0.250
Se35 0.907 0.088 0.877
Se36 0.712 0.588 0.181
Se37 0.123 0.712 0.530
Eu8 0.375 0.750 0.625
Ge14 0.375 0.125 0.750
Se38 0.288 0.412 0.819
Se39 0.907 0.819 0.530
Se40 0.530 0.212 0.123
Ge15 0.250 0.875 0.125
Se41 0.470 0.788 0.877
Se42 0.623 0.030 0.212
Se43 0.623 0.593 0.912
Ge16 0.000 0.000 0.000
Se44 0.819 0.907 0.030
Se45 0.212 0.530 0.623
Eu9 0.125 0.250 0.875
Ge17 0.750 0.125 0.875
Se46 0.970 0.377 0.288
Eu10 0.750 0.875 0.625
Eu11 0.250 0.125 0.375
Se47 0.530 0.319 0.907
Se48 0.912 0.093 0.623
Ge18 0.500 0.500 0.500
Ge19 0.500 0.000 0.000
Ge20 0.375 0.250 0.125
Eu12 0.625 0.250 0.375
# Total magnetization, μB/cell: 78.8
# Density, g/cm³: 5.4
# ΔE_f (raw), meV/atom: -755

=====

Record 10
# Eu2Ge2Se5 (PBE, relaxed)
data_Eu2Ge2Se5
_space_group_name_H-M_alt 'P 1'
_space_group_IT_number 1
_space_group_name_Hall 'P 1'
_cell_length_a 12.387
_cell_length_b 8.498
_cell_length_c 11.980
_cell_angle_alpha 49.40
_cell_angle_beta 90.00
_cell_angle_gamma 90.00
loop_
_atom_site_label
_atom_site_fract_x
_atom_site_fract_y
_atom_site_fract_z
Se1 0.403 0.102 0.054
Se2 0.215 0.509 0.793
Se3 0.205 0.056 0.274
Ge1 0.953 0.846 0.671
Se4 0.295 0.056 0.774
Eu1 0.195 0.522 0.523
Eu2 0.337 0.014 0.523
Se5 0.491 0.688 0.781
Eu3 0.305 0.522 0.023
Se6 0.009 0.688 0.281
Se7 0.795 0.944 0.726
Se8 0.285 0.509 0.293
Se9 0.715 0.491 0.707
Se10 0.705 0.944 0.226
Ge2 0.519 0.516 0.685
Se11 0.065 0.748 0.952
Eu4 0.837 0.986 0.977
Ge3 0.481 0.484 0.315
Se12 0.435 0.748 0.452
Eu5 0.695 0.478 0.977
Se13 0.903 0.898 0.446
Ge4 0.047 0.154 0.329
Ge5 0.981 0.516 0.185
Eu6 0.805 0.478 0.477
Ge6 0.453 0.154 0.829
Ge7 0.019 0.484 0.815
Se14 0.785 0.491 0.207
Se15 0.597 0.898 0.946
Se16 0.935 0.252 0.048
Se17 0.565 0.252 0.548
Ge8 0.547 0.846 0.171
Se18 0.991 0.312 0.719
Eu7 0.663 0.986 0.477
Se19 0.097 0.102 0.554
Se20 0.509 0.312 0.219
Eu8 0.163 0.014 0.023
# Total magnetization, μB/cell: 0.0
# Density, g/cm³: 5.9
# ΔE_f (raw), meV/atom: -1036

=====

Record 11
# EuGeSe2 (PBE, relaxed)
data_EuGeSe2
_space_group_name_H-M_alt 'P 1'
_space_group_IT_number 1
_space_group_name_Hall 'P 1'
_cell_length_a 4.209
_cell_length_b 4.209
_cell_length_c 7.278
_cell_angle_alpha 73.19
_cell_angle_beta 73.19
_cell_angle_gamma 60.00
loop_
_atom_site_label
_atom_site_fract_x
_atom_site_fract_y
_atom_site_fract_z
Eu1 0.500 0.500 0.500
Se1 0.256 0.256 0.233
Se2 0.744 0.744 0.767
Ge1 0.000 0.000 0.000
# Total magnetization, μB/cell: 7.0
# Density, g/cm³: 6.0
# ΔE_f (raw), meV/atom: -1056

=====

Record 12
# Eu2SiGe (PBE, relaxed)
data_Eu2SiGe
_space_group_name_H-M_alt 'P 1'
_space_group_IT_number 1
_space_group_name_Hall 'P 1'
_cell_length_a 4.227
_cell_length_b 4.808
_cell_length_c 4.808
_cell_angle_alpha 90.00
_cell_angle_beta 90.00
_cell_angle_gamma 90.00
loop_
_atom_site_label
_atom_site_fract_x
_atom_site_fract_y
_atom_site_fract_z
Ge1 0.500 0.000 0.000
Si1 0.500 0.500 0.500
Eu1 0.000 0.500 0.000
Eu2 0.000 0.000 0.500
# Total magnetization, μB/cell: 13.8
# Density, g/cm³: 6.9
# ΔE_f (raw), meV/atom: -426

=====

Record 13
# EuSiGe2 (PBE, relaxed)
data_EuSiGe2
_space_group_name_H-M_alt 'P 1'
_space_group_IT_number 1
_space_group_name_Hall 'P 1'
_cell_length_a 4.305
_cell_length_b 4.323
_cell_length_c 4.323
_cell_angle_alpha 90.00
_cell_angle_beta 90.00
_cell_angle_gamma 90.00
loop_
_atom_site_label
_atom_site_fract_x
_atom_site_fract_y
_atom_site_fract_z
Ge1 0.000 0.500 0.000
Ge2 0.000 0.000 0.500
Si1 0.500 0.500 0.500
Eu1 0.500 0.000 0.000
# Total magnetization, μB/cell: 6.8
# Density, g/cm³: 6.7
# ΔE_f (raw), meV/atom: -225
# E above lowest polymorph, meV/atom: 0.0

=====

Record 14
# EuSiGe2 (PBE, relaxed)
data_EuSiGe2
_space_group_name_H-M_alt 'P 1'
_space_group_IT_number 1
_space_group_name_Hall 'P 1'
_cell_length_a 4.430
_cell_length_b 4.430
_cell_length_c 5.781
_cell_angle_alpha 67.47
_cell_angle_beta 67.47
_cell_angle_gamma 60.00
loop_
_atom_site_label
_atom_site_fract_x
_atom_site_fract_y
_atom_site_fract_z
Ge1 0.288 0.288 0.137
Eu1 0.500 0.500 0.500
Si1 0.000 0.000 0.000
Ge2 0.712 0.712 0.863
# Total magnetization, μB/cell: 7.0
# Density, g/cm³: 6.1
# ΔE_f (raw), meV/atom: -209
# E above lowest polymorph, meV/atom: 16.3

=====

Record 15
# SmEuTlGe (PBE, relaxed)
data_SmEuTlGe
_space_group_name_H-M_alt 'P 1'
_space_group_IT_number 1
_space_group_name_Hall 'P 1'
_cell_length_a 5.376
_cell_length_b 5.376
_cell_length_c 5.376
_cell_angle_alpha 60.00
_cell_angle_beta 60.00
_cell_angle_gamma 60.00
loop_
_atom_site_label
_atom_site_fract_x
_atom_site_fract_y
_atom_site_fract_z
Tl1 0.750 0.750 0.750
Sm1 0.500 0.500 0.500
Eu1 0.000 0.000 0.000
Ge1 0.250 0.250 0.250
# ΔH_f (0 K), eV/atom: -0.444
# Total magnetization, μB/cell: 7.2
# Density, g/cm³: 8.8

=====

Record 16
# SmEuZnGe (PBE, relaxed)
data_SmEuZnGe
_space_group_name_H-M_alt 'P 1'
_space_group_IT_number 1
_space_group_name_Hall 'P 1'
_cell_length_a 5.190
_cell_length_b 5.190
_cell_length_c 5.190
_cell_angle_alpha 60.00
_cell_angle_beta 60.00
_cell_angle_gamma 60.00
loop_
_atom_site_label
_atom_site_fract_x
_atom_site_fract_y
_atom_site_fract_z
Sm1 0.500 0.500 0.500
Ge1 0.250 0.250 0.250
Eu1 0.000 0.000 0.000
Zn1 0.750 0.750 0.750
# ΔH_f (0 K), eV/atom: -0.481
# Total magnetization, μB/cell: 7.5
# Density, g/cm³: 7.4

=====

Record 17
# EuSnGe2 (PBE, relaxed)
data_EuSnGe2
_space_group_name_H-M_alt 'P 1'
_space_group_IT_number 1
_space_group_name_Hall 'P 1'
_cell_length_a 4.281
_cell_length_b 4.639
_cell_length_c 4.639
_cell_angle_alpha 90.00
_cell_angle_beta 90.00
_cell_angle_gamma 90.00
loop_
_atom_site_label
_atom_site_fract_x
_atom_site_fract_y
_atom_site_fract_z
Ge1 0.000 0.000 0.500
Sn1 0.500 0.000 0.000
Ge2 0.000 0.500 0.000
Eu1 0.500 0.500 0.500
# ΔH_f (0 K), eV/atom: -0.360
# Total magnetization, μB/cell: 6.8
# Density, g/cm³: 7.5
# E above lowest polymorph, meV/atom: 0.0

=====

Record 18
# EuSnGe2 (PBE, relaxed)
data_EuSnGe2
_space_group_name_H-M_alt 'P 1'
_space_group_IT_number 1
_space_group_name_Hall 'P 1'
_cell_length_a 4.799
_cell_length_b 4.799
_cell_length_c 5.799
_cell_angle_alpha 65.56
_cell_angle_beta 65.56
_cell_angle_gamma 60.00
loop_
_atom_site_label
_atom_site_fract_x
_atom_site_fract_y
_atom_site_fract_z
Sn1 0.000 0.000 0.000
Ge1 0.718 0.718 0.845
Eu1 0.500 0.500 0.500
Ge2 0.282 0.282 0.155
# ΔH_f (0 K), eV/atom: -0.234
# Total magnetization, μB/cell: 7.0
# Density, g/cm³: 6.8
# E above lowest polymorph, meV/atom: 125.9

=====

Record 19
# EuSnGe4 (PBE, relaxed)
data_EuSnGe4
_space_group_name_H-M_alt 'P 1'
_space_group_IT_number 1
_space_group_name_Hall 'P 1'
_cell_length_a 5.727
_cell_length_b 5.727
_cell_length_c 5.727
_cell_angle_alpha 60.00
_cell_angle_beta 60.00
_cell_angle_gamma 60.00
loop_
_atom_site_label
_atom_site_fract_x
_atom_site_fract_y
_atom_site_fract_z
Eu1 0.250 0.250 0.250
Ge1 0.625 0.625 0.625
Ge2 0.124 0.625 0.625
Ge3 0.625 0.124 0.625
Ge4 0.625 0.625 0.124
Sn1 0.000 0.000 0.000
# ΔH_f (0 K), eV/atom: -0.156
# Total magnetization, μB/cell: 7.2
# Density, g/cm³: 7.0

=====

Record 20
# Eu2SnGe (PBE, relaxed)
data_Eu2SnGe
_space_group_name_H-M_alt 'P 1'
_space_group_IT_number 1
_space_group_name_Hall 'P 1'
_cell_length_a 3.519
_cell_length_b 3.519
_cell_length_c 8.837
_cell_angle_alpha 90.00
_cell_angle_beta 90.00
_cell_angle_gamma 90.00
loop_
_atom_site_label
_atom_site_fract_x
_atom_site_fract_y
_atom_site_fract_z
Eu1 0.000 0.000 0.231
Eu2 0.000 0.000 0.769
Sn1 0.500 0.500 0.500
Ge1 0.500 0.500 0.000
# ΔH_f (0 K), eV/atom: -0.604
# Total magnetization, μB/cell: 13.7
# Density, g/cm³: 7.5

=====

Record 21
# Eu2SnGe (PBE, relaxed)
data_Eu2SnGe
_space_group_name_H-M_alt 'P 1'
_space_group_IT_number 1
_space_group_name_Hall 'P 1'
_cell_length_a 3.683
_cell_length_b 3.683
_cell_length_c 11.186
_cell_angle_alpha 80.52
_cell_angle_beta 80.52
_cell_angle_gamma 60.00
loop_
_atom_site_label
_atom_site_fract_x
_atom_site_fract_y
_atom_site_fract_z
Eu1 0.100 0.100 0.700
Eu2 0.900 0.900 0.300
Ge1 0.500 0.500 0.500
Sn1 0.000 0.000 0.000
# ΔH_f (0 K), eV/atom: -0.141
# Total magnetization, μB/cell: 14.7
# Density, g/cm³: 6.4

=====

Record 22
# Eu2SnGe (PBE, relaxed)
data_Eu2SnGe
_space_group_name_H-M_alt 'P 1'
_space_group_IT_number 1
_space_group_name_Hall 'P 1'
_cell_length_a 4.504
_cell_length_b 4.936
_cell_length_c 4.936
_cell_angle_alpha 90.00
_cell_angle_beta 90.00
_cell_angle_gamma 90.00
loop_
_atom_site_label
_atom_site_fract_x
_atom_site_fract_y
_atom_site_fract_z
Eu1 0.000 0.000 0.500
Eu2 0.000 0.500 0.000
Sn1 0.500 0.500 0.500
Ge1 0.500 0.000 0.000
# ΔH_f (0 K), eV/atom: -0.577
# Total magnetization, μB/cell: 14.0
# Density, g/cm³: 7.5

=====

Record 23
# SrEuSnGe (PBE, relaxed)
data_SrEuSnGe
_space_group_name_H-M_alt 'P 1'
_space_group_IT_number 1
_space_group_name_Hall 'P 1'
_cell_length_a 5.522
_cell_length_b 5.522
_cell_length_c 5.522
_cell_angle_alpha 60.00
_cell_angle_beta 60.00
_cell_angle_gamma 60.00
loop_
_atom_site_label
_atom_site_fract_x
_atom_site_fract_y
_atom_site_fract_z
Ge1 0.250 0.250 0.250
Sr1 0.500 0.500 0.500
Eu1 0.000 0.000 0.000
Sn1 0.750 0.750 0.750
# ΔH_f (0 K), eV/atom: -0.501
# Total magnetization, μB/cell: 7.0
# Density, g/cm³: 6.0